Sr6As2PI3: relaxed, GGA-PBE.

abc: 7.9631 7.9631 8.3546
angles: 99.14 99.14 120.00
Last column: nearest neighbours and their distance in Å.
Element x y z (fractional)
Sr: 0.0655 0.3932 0.1963  1 P 3.04, 2 As 3.10
Sr: 0.2623 0.2623 0.8036  1 P 3.04, 2 As 3.10
Sr: 0.3932 0.0655 0.1963  1 P 3.04, 2 As 3.10
Sr: 0.6068 0.9345 0.8037  1 P 3.04, 2 As 3.10
Sr: 0.7377 0.7377 0.1964  1 P 3.04, 2 As 3.10
Sr: 0.9345 0.6068 0.8037  1 P 3.04, 2 As 3.10
As: 0.3333 0.6667 0.0000  6 Sr 3.10
As: 0.6667 0.3333 0.0000  6 Sr 3.10
P: 0.0000 0.0000 0.0000  6 Sr 3.04
I: 0.1669 0.8331 0.5000  6 Sr 3.57-3.61
I: 0.5000 0.5000 0.5000  6 Sr 3.57-3.61
I: 0.8331 0.1669 0.5000  6 Sr 3.57-3.61

Results
Formation energy (no corrections) = -1.44 eV/atom
Space group = C2/m (12)
ρ = 4.2 Mg/m³